Computed, not measured: a relaxed structure of YTl3As2O8 at the GGA-PBE level of DFT.

Properties
Its total moment is 0.00 Bohr magnetons per cell. Its volume is 17.80 Å³/atom. As for the total energy: -6.049 eV/atom.

Cell: 5.9804 5.9804 8.0446 Å, 90.00 90.00 120.00°
Atoms (fractional coordinates):
Y1 0.0000 0.0000 0.0000
Tl1 0.0000 0.0000 0.5000
Tl2 0.3333 0.6667 0.2367
Tl3 0.6667 0.3333 0.7633
As1 0.3333 0.6667 0.7576
As2 0.6667 0.3333 0.2424
O1 0.1764 0.3528 0.8330
O2 0.1764 0.8236 0.8330
O3 0.3333 0.6667 0.5478
O4 0.3528 0.1764 0.1670
O5 0.6472 0.8236 0.8330
O6 0.6667 0.3333 0.4522
O7 0.8236 0.1764 0.1670
O8 0.8236 0.6472 0.1670